The following is a DFT calculation (PBE) of an optimized crystal structure of Ni2AgRu2.

Computed properties:
E_form: 0.41 eV per atom

CIF file:
```
data_Ni2AgRu2
_space_group_name_H-M_alt 'P 4/m b m'
_space_group_IT_number 127
_space_group_name_Hall '-P 4 2ab'
_cell_length_a 7.340
_cell_length_b 7.340
_cell_length_c 2.637
_cell_angle_alpha 90.00
_cell_angle_beta 90.00
_cell_angle_gamma 90.00
loop_
_atom_site_label
_atom_site_type_symbol
_atom_site_fract_x
_atom_site_fract_y
_atom_site_fract_z
_atom_site_occupancy
Ni1 Ni 0.173 0.327 0.000 1
Ag1 Ag 0.000 0.000 0.500 1
Ru1 Ru 0.121 0.621 0.500 1
```

=====

The following is a DFT calculation (PBE) of an optimized crystal structure of Zr4TiN.

Computed properties:
Formation energy from raw total energies: -382.3 meV per atom

CIF file:
```
data_Zr4TiN
_space_group_name_H-M_alt 'P 1 21/c 1'
_space_group_IT_number 14
_cell_length_a 6.218
_cell_length_b 6.100
_cell_length_c 6.150
_cell_angle_alpha 90.00
_cell_angle_beta 96.76
_cell_angle_gamma 90.00
loop_
_space_group_symop_operation_xyz
'x,y,z'
'-x,-y,-z'
'-x,y+1/2,-z+1/2'
'x,-y+1/2,z+1/2'
loop_
_atom_site_label
_atom_site_type_symbol
_atom_site_fract_x
_atom_site_fract_y
_atom_site_fract_z
_atom_site_occupancy
Zr1 Zr 0.097 0.175 0.185 1
Zr2 Zr 0.325 0.627 0.087 1
Ti1 Ti 0.500 0.000 0.000 1
N1 N 0.000 0.000 0.500 1
```

=====

The following is a DFT calculation (PBE) of an optimized crystal structure of Pa2FeOs.

Computed properties:
E_form: -0.09 eV per atom

CIF file:
```
data_Pa2FeOs
_space_group_name_H-M_alt 'R -3 m'
_space_group_IT_number 166
_space_group_name_Hall '-R 3 2"'
_cell_length_a 4.3812
_cell_length_b 4.3812
_cell_length_c 14.3025
_cell_angle_alpha 90.00
_cell_angle_beta 90.00
_cell_angle_gamma 120.00
loop_
_atom_site_label
_atom_site_type_symbol
_atom_site_fract_x
_atom_site_fract_y
_atom_site_fract_z
_atom_site_occupancy
Pa1 Pa 0.0000 0.0000 0.2450 1
Fe1 Fe 0.0000 0.0000 0.5000 1
Os1 Os 0.0000 0.0000 0.0000 1
```

=====

The following is a DFT calculation (PBE) of an optimized crystal structure of Ce2Ho2C3.

Computed properties:
E_form: -0.19 eV per atom

CIF file:
```
data_Ce2Ho2C3
_space_group_name_H-M_alt 'C 1 2/m 1'
_space_group_IT_number 12
_cell_length_a 13.040
_cell_length_b 3.590
_cell_length_c 6.085
_cell_angle_alpha 90.00
_cell_angle_beta 113.39
_cell_angle_gamma 90.00
loop_
_space_group_symop_operation_xyz
'x,y,z'
'-x,-y,-z'
'-x,y,-z'
'x,-y,z'
'x+1/2,y+1/2,z'
'-x+1/2,-y+1/2,-z'
'-x+1/2,y+1/2,-z'
'x+1/2,-y+1/2,z'
loop_
_atom_site_label
_atom_site_type_symbol
_atom_site_fract_x
_atom_site_fract_y
_atom_site_fract_z
_atom_site_occupancy
Ce1 Ce 0.126 0.000 0.455 1
Ho1 Ho 0.134 0.500 0.994 1
C1 C 0.000 0.000 0.000 1
C2 C 0.234 0.500 0.718 1
```

=====

The following is a DFT calculation (PBE) of an optimized crystal structure of ScCo2Re.

Computed properties:
E_form: -0.03 eV per atom

CIF file:
```
data_ScCo2Re
_space_group_name_H-M_alt 'C 1 2/m 1'
_space_group_IT_number 12
_cell_length_a 5.646
_cell_length_b 6.952
_cell_length_c 2.751
_cell_angle_alpha 90.00
_cell_angle_beta 90.16
_cell_angle_gamma 90.00
loop_
_space_group_symop_operation_xyz
'x,y,z'
'-x,-y,-z'
'-x,y,-z'
'x,-y,z'
'x+1/2,y+1/2,z'
'-x+1/2,-y+1/2,-z'
'-x+1/2,y+1/2,-z'
'x+1/2,-y+1/2,z'
loop_
_atom_site_label
_atom_site_type_symbol
_atom_site_fract_x
_atom_site_fract_y
_atom_site_fract_z
_atom_site_occupancy
Sc1 Sc 0.000 0.000 0.000 1
Co1 Co 0.250 0.250 0.500 1
Re1 Re 0.000 0.500 0.000 1
```

=====

The following is a DFT calculation (PBE) of an optimized crystal structure of Na2PmErO4.

Computed properties:
Formation energy from raw total energies: -2736.5 meV per atom

CIF file:
```
data_Na2PmErO4
_space_group_name_H-M_alt 'P 1 2/m 1'
_space_group_IT_number 10
_cell_length_a 5.949
_cell_length_b 3.473
_cell_length_c 6.021
_cell_angle_alpha 90.00
_cell_angle_beta 109.73
_cell_angle_gamma 90.00
loop_
_space_group_symop_operation_xyz
'x,y,z'
'-x,-y,-z'
'-x,y,-z'
'x,-y,z'
loop_
_atom_site_label
_atom_site_type_symbol
_atom_site_fract_x
_atom_site_fract_y
_atom_site_fract_z
_atom_site_occupancy
Na1 Na 0.000 0.000 0.000 1
Na2 Na 0.000 0.500 0.500 1
Pm1 Pm 0.500 0.000 0.500 1
Er1 Er 0.500 0.500 0.000 1
O1 O 0.286 0.500 0.252 1
O2 O 0.289 0.000 0.772 1
```

=====

The following is a DFT calculation (PBE) of an optimized crystal structure of LiTiIn.

Computed properties:
E_form: 0.54 eV per atom

CIF file:
```
data_LiTiIn
_space_group_name_H-M_alt 'F -4 3 m'
_space_group_IT_number 216
_space_group_name_Hall 'F -4 2 3'
_cell_length_a 6.496
_cell_length_b 6.496
_cell_length_c 6.496
_cell_angle_alpha 90.00
_cell_angle_beta 90.00
_cell_angle_gamma 90.00
loop_
_atom_site_label
_atom_site_type_symbol
_atom_site_fract_x
_atom_site_fract_y
_atom_site_fract_z
_atom_site_occupancy
Li1 Li 0.000 0.000 0.000 1
Ti1 Ti 0.250 0.250 0.750 1
In1 In 0.000 0.000 0.500 1
```

=====

The following is a DFT calculation (PBE) of an optimized crystal structure of Pm4SbAsS2.

Computed properties:
Formation energy from raw total energies: -1674.6 meV per atom

CIF file:
```
data_Pm4SbAsS2
_space_group_name_H-M_alt 'P 1 2/m 1'
_space_group_IT_number 10
_cell_length_a 7.251
_cell_length_b 4.214
_cell_length_c 7.329
_cell_angle_alpha 90.00
_cell_angle_beta 109.61
_cell_angle_gamma 90.00
loop_
_space_group_symop_operation_xyz
'x,y,z'
'-x,-y,-z'
'-x,y,-z'
'x,-y,z'
loop_
_atom_site_label
_atom_site_type_symbol
_atom_site_fract_x
_atom_site_fract_y
_atom_site_fract_z
_atom_site_occupancy
Pm1 Pm 0.233 0.000 0.233 1
Pm2 Pm 0.242 0.500 0.757 1
Sb1 Sb 0.500 0.500 0.500 1
As1 As 0.500 0.000 0.000 1
S1 S 0.000 0.000 0.500 1
S2 S 0.000 0.500 0.000 1
```

=====

The following is a DFT calculation (PBE) of an optimized crystal structure of Ce2DyGe2Au2.

Computed properties:
E_form: -0.60 eV per atom

CIF file:
```
data_Ce2DyGe2Au2
_space_group_name_H-M_alt 'R -3 m'
_space_group_IT_number 166
_space_group_name_Hall '-R 3 2"'
_cell_length_a 4.4194
_cell_length_b 4.4194
_cell_length_c 27.5151
_cell_angle_alpha 90.00
_cell_angle_beta 90.00
_cell_angle_gamma 120.00
loop_
_atom_site_label
_atom_site_type_symbol
_atom_site_fract_x
_atom_site_fract_y
_atom_site_fract_z
_atom_site_occupancy
Ce1 Ce 0.0000 0.0000 0.1412 1
Dy1 Dy 0.0000 0.0000 0.0000 1
Ge1 Ge 0.0000 0.0000 0.2589 1
Au1 Au 0.0000 0.0000 0.3990 1
```

=====

The following is a DFT calculation (PBE) of an optimized crystal structure of PI2Br.

Computed properties:
Formation energy from raw total energies: -142.6 meV per atom

CIF file:
```
data_PI2Br
_space_group_name_H-M_alt 'P 1'
_space_group_IT_number 1
_cell_length_a 5.143
_cell_length_b 5.828
_cell_length_c 7.379
_cell_angle_alpha 87.03
_cell_angle_beta 69.63
_cell_angle_gamma 80.86
loop_
_space_group_symop_operation_xyz
'x,y,z'
loop_
_atom_site_label
_atom_site_type_symbol
_atom_site_fract_x
_atom_site_fract_y
_atom_site_fract_z
_atom_site_occupancy
P1 P 0.000 0.000 0.000 1
I1 I 0.552 0.048 0.281 1
I2 I 0.832 0.047 0.719 1
Br1 Br 0.143 0.614 0.000 1
```

=====

The following is a DFT calculation (PBE) of an optimized crystal structure of ScInAu2.

Computed properties:
E_form: -0.49 eV per atom

CIF file:
```
data_ScInAu2
_space_group_name_H-M_alt 'C 1 m 1'
_space_group_IT_number 8
_cell_length_a 9.489
_cell_length_b 3.636
_cell_length_c 4.896
_cell_angle_alpha 90.00
_cell_angle_beta 105.54
_cell_angle_gamma 90.00
loop_
_space_group_symop_operation_xyz
'x,y,z'
'x,-y,z'
'x+1/2,y+1/2,z'
'x+1/2,-y+1/2,z'
loop_
_atom_site_label
_atom_site_type_symbol
_atom_site_fract_x
_atom_site_fract_y
_atom_site_fract_z
_atom_site_occupancy
Sc1 Sc 0.000 0.000 0.000 1
In1 In 0.235 0.000 0.671 1
Au1 Au 0.237 0.500 0.176 1
Au2 Au 0.491 0.000 0.475 1
```

=====

The following is a DFT calculation (PBE) of an optimized crystal structure of Tb2PrN.

Computed properties:
Formation energy from raw total energies: -170.5 meV per atom

CIF file:
```
data_Tb2PrN
_space_group_name_H-M_alt 'P 4/m m m'
_space_group_IT_number 123
_space_group_name_Hall '-P 4 2'
_cell_length_a 3.194
_cell_length_b 3.194
_cell_length_c 9.048
_cell_angle_alpha 90.00
_cell_angle_beta 90.00
_cell_angle_gamma 90.00
loop_
_atom_site_label
_atom_site_type_symbol
_atom_site_fract_x
_atom_site_fract_y
_atom_site_fract_z
_atom_site_occupancy
Tb1 Tb 0.000 0.000 0.157 1
Pr1 Pr 0.500 0.500 0.500 1
N1 N 0.500 0.500 0.000 1
```

=====

The following is a DFT calculation (PBE) of an optimized crystal structure of SrMn2BeP.

Computed properties:
E_form: 0.25 eV per atom

CIF file:
```
data_SrMn2BeP
_space_group_name_H-M_alt 'P 4/m m m'
_space_group_IT_number 123
_space_group_name_Hall '-P 4 2'
_cell_length_a 4.560
_cell_length_b 4.560
_cell_length_c 4.273
_cell_angle_alpha 90.00
_cell_angle_beta 90.00
_cell_angle_gamma 90.00
loop_
_atom_site_label
_atom_site_type_symbol
_atom_site_fract_x
_atom_site_fract_y
_atom_site_fract_z
_atom_site_occupancy
Sr1 Sr 0.000 0.000 0.000 1
Mn1 Mn 0.000 0.500 0.500 1
Be1 Be 0.500 0.500 0.000 1
P1 P 0.500 0.500 0.500 1
```

=====

The following is a DFT calculation (PBE) of an optimized crystal structure of Sn3Pd2.

Computed properties:
E_form: -0.37 eV per atom

CIF file:
```
data_Sn3Pd2
_space_group_name_H-M_alt 'R -3 c'
_space_group_IT_number 167
_space_group_name_Hall '-R 3 2"c'
_cell_length_a 6.7127
_cell_length_b 6.7127
_cell_length_c 17.8979
_cell_angle_alpha 90.00
_cell_angle_beta 90.00
_cell_angle_gamma 120.00
loop_
_atom_site_label
_atom_site_type_symbol
_atom_site_fract_x
_atom_site_fract_y
_atom_site_fract_z
_atom_site_occupancy
Sn1 Sn 0.0000 0.3504 0.2500 1
Pd1 Pd 0.0000 0.0000 0.1696 1
```

=====

The following is a DFT calculation (PBE) of an optimized crystal structure of BeTlSb2I.

Computed properties:
Formation energy from raw total energies: 269.5 meV per atom

CIF file:
```
data_BeTlSb2I
_space_group_name_H-M_alt 'P 4/m m m'
_space_group_IT_number 123
_space_group_name_Hall '-P 4 2'
_cell_length_a 4.928
_cell_length_b 4.928
_cell_length_c 6.124
_cell_angle_alpha 90.00
_cell_angle_beta 90.00
_cell_angle_gamma 90.00
loop_
_atom_site_label
_atom_site_type_symbol
_atom_site_fract_x
_atom_site_fract_y
_atom_site_fract_z
_atom_site_occupancy
Be1 Be 0.000 0.000 0.000 1
Tl1 Tl 0.500 0.500 0.500 1
Sb1 Sb 0.000 0.500 0.000 1
I1 I 0.000 0.000 0.500 1
```

=====

The following is a DFT calculation (PBE) of an optimized crystal structure of LaSm2Al.

Computed properties:
E_form: -0.17 eV per atom

CIF file:
```
data_LaSm2Al
_space_group_name_H-M_alt 'P 4/m m m'
_space_group_IT_number 123
_space_group_name_Hall '-P 4 2'
_cell_length_a 4.905
_cell_length_b 4.905
_cell_length_c 4.847
_cell_angle_alpha 90.00
_cell_angle_beta 90.00
_cell_angle_gamma 90.00
loop_
_atom_site_label
_atom_site_type_symbol
_atom_site_fract_x
_atom_site_fract_y
_atom_site_fract_z
_atom_site_occupancy
La1 La 0.000 0.000 0.000 1
Sm1 Sm 0.000 0.500 0.500 1
Al1 Al 0.500 0.500 0.000 1
```

=====

The following is a DFT calculation (PBE) of an optimized crystal structure of MgBeMoHW.

Computed properties:
E_tot: -6.17 eV per atom

CIF file:
```
data_MgBeMoHW
_space_group_name_H-M_alt 'P 1'
_space_group_IT_number 1
_cell_length_a 2.715
_cell_length_b 4.270
_cell_length_c 5.475
_cell_angle_alpha 90.55
_cell_angle_beta 102.45
_cell_angle_gamma 90.45
loop_
_space_group_symop_operation_xyz
'x,y,z'
loop_
_atom_site_label
_atom_site_type_symbol
_atom_site_fract_x
_atom_site_fract_y
_atom_site_fract_z
_atom_site_occupancy
Mg1 Mg 0.000 0.000 0.000 1
Be1 Be 0.994 0.996 0.542 1
Mo1 Mo 0.559 0.510 0.271 1
H1 H 0.602 0.936 0.278 1
W1 W 0.482 0.493 0.735 1
```

=====

The following is a DFT calculation (PBE) of an optimized crystal structure of Ta2TcP.

Computed properties:
E_form: -0.51 eV per atom

CIF file:
```
data_Ta2TcP
_space_group_name_H-M_alt 'A m m 2'
_space_group_IT_number 38
_cell_length_a 3.321
_cell_length_b 3.302
_cell_length_c 11.742
_cell_angle_alpha 90.00
_cell_angle_beta 90.00
_cell_angle_gamma 90.00
loop_
_space_group_symop_operation_xyz
'x,y,z'
'-x,-y,z'
'-x,y,z'
'x,-y,z'
'x,y+1/2,z+1/2'
'-x,-y+1/2,z+1/2'
'-x,y+1/2,z+1/2'
'x,-y+1/2,z+1/2'
loop_
_atom_site_label
_atom_site_type_symbol
_atom_site_fract_x
_atom_site_fract_y
_atom_site_fract_z
_atom_site_occupancy
Ta1 Ta 0.000 0.000 0.000 1
Ta2 Ta 0.500 0.000 0.348 1
Tc1 Tc 0.500 0.000 0.619 1
P1 P 0.000 0.000 0.767 1
```

=====

The following is a DFT calculation (PBE) of an optimized crystal structure of Be2VNi.

Computed properties:
E_form: -0.26 eV per atom

CIF file:
```
data_Be2VNi
_space_group_name_H-M_alt 'P 4/m m m'
_space_group_IT_number 123
_space_group_name_Hall '-P 4 2'
_cell_length_a 2.590
_cell_length_b 2.590
_cell_length_c 5.887
_cell_angle_alpha 90.00
_cell_angle_beta 90.00
_cell_angle_gamma 90.00
loop_
_atom_site_label
_atom_site_type_symbol
_atom_site_fract_x
_atom_site_fract_y
_atom_site_fract_z
_atom_site_occupancy
Be1 Be 0.000 0.000 0.216 1
V1 V 0.500 0.500 0.500 1
Ni1 Ni 0.500 0.500 0.000 1
```

=====

The following is a DFT calculation (PBE) of an optimized crystal structure of LiInCu2.

Computed properties:
E_form: -0.07 eV per atom

CIF file:
```
data_LiInCu2
_space_group_name_H-M_alt 'P 4/m m m'
_space_group_IT_number 123
_space_group_name_Hall '-P 4 2'
_cell_length_a 3.839
_cell_length_b 3.839
_cell_length_c 4.021
_cell_angle_alpha 90.00
_cell_angle_beta 90.00
_cell_angle_gamma 90.00
loop_
_atom_site_label
_atom_site_type_symbol
_atom_site_fract_x
_atom_site_fract_y
_atom_site_fract_z
_atom_site_occupancy
Li1 Li 0.000 0.000 0.000 1
In1 In 0.500 0.500 0.000 1
Cu1 Cu 0.000 0.500 0.500 1
```